[1]
Crystalline BiHPb2Au at its relaxed geometry. Source: Alexandria via LeMat-Bulk, functional GGA-PBE.

Calculated values
The calculation puts the uncorrected energy at -3.4508 eV/atom.

a b c (Å): 5.878 5.878 3.513
angles (deg): 90.00 90.00 90.00
Space group P4/mmm (No. 123)
Inequivalent atoms, fractional coordinates:
Bi1 0.000 0.000 0.000 x1
H1 0.500 0.500 0.500 x1
Pb1 0.000 0.500 0.500 x2
Au1 0.500 0.500 0.000 x1

=====

[2]
Crystalline Sm2Dy3Tm2 at its relaxed geometry. Source: Alexandria via LeMat-Bulk, functional GGA-PBE.

Calculated values
As for the formation energy: 0.1208 eV/atom.

a b c (Å): 17.417 3.494 8.489
angles (deg): 90.00 119.16 90.00
Space group C2/m (No. 12)
Inequivalent atoms, fractional coordinates:
Sm1 0.066 0.000 0.220 x4
Dy1 0.000 0.500 0.500 x2
Dy2 0.212 0.500 0.625 x4
Tm1 0.149 0.500 0.967 x4

=====

[3]
Crystalline TaCrCd2 at its relaxed geometry. Source: Alexandria via LeMat-Bulk, functional GGA-PBE.

Calculated values
As for the formation energy: 0.2899 eV/atom.

a b c (Å): 3.274 4.757 9.404
angles (deg): 90.00 90.00 90.00
Space group Cmm2 (No. 35)
Inequivalent atoms, fractional coordinates:
Ta1 0.000 0.000 0.000 x2
Cr1 0.000 0.500 0.802 x2
Cd1 0.000 0.000 0.558 x2
Cd2 0.000 0.500 0.271 x2

=====

[4]
Crystalline ZrPtW2 at its relaxed geometry. Source: Alexandria via LeMat-Bulk, functional GGA-PBE.

Calculated values
As for the formation energy: 0.2540 eV/atom.

a b c (Å): 6.492 6.492 6.492
angles (deg): 90.00 90.00 90.00
Space group Fm-3m (No. 225)
Inequivalent atoms, fractional coordinates:
Zr1 0.000 0.000 0.000 x4
Pt1 0.000 0.000 0.500 x4
W1 0.250 0.250 0.250 x8

=====

[5]
Crystalline MgBe at its relaxed geometry. Source: Alexandria via LeMat-Bulk, functional GGA-PBE.

Calculated values
As for the formation energy: 0.2225 eV/atom.

a b c (Å): 4.860 4.980 9.893
angles (deg): 90.00 90.00 90.00
Space group P2_12_12_1 (No. 19)
Inequivalent atoms, fractional coordinates:
Mg1 0.129 0.145 0.180 x4
Mg2 0.138 0.591 0.980 x4
Be1 0.113 0.355 0.726 x4
Be2 0.139 0.098 0.899 x4

=====

[6]
Crystalline CsHfAl at its relaxed geometry. Source: Alexandria via LeMat-Bulk, functional GGA-PBE.

Calculated values
As for the formation energy: 0.1178 eV/atom.

a b c (Å): 4.389 3.693 13.952
angles (deg): 90.00 98.21 90.00
Space group P2_1 (No. 4)
Inequivalent atoms, fractional coordinates:
Cs1 0.144 0.000 0.320 x2
Hf1 0.462 0.498 0.916 x2
Al1 0.033 0.498 0.073 x2

=====

[7]
Crystalline Tb8Ni2Bi at its relaxed geometry. Source: Alexandria via LeMat-Bulk, functional GGA-PBE.

Calculated values
As for the formation energy: -0.2189 eV/atom.

a b c (Å): 8.605 13.340 5.459
angles (deg): 90.00 103.36 90.00
Space group C2/m (No. 12)
Inequivalent atoms, fractional coordinates:
Tb1 0.000 0.250 0.000 x4
Tb2 0.101 0.000 0.798 x4
Tb3 0.207 0.371 0.581 x8
Ni1 0.000 0.198 0.500 x4
Bi1 0.000 0.500 0.000 x2

=====

[8]
Crystalline Be2InP at its relaxed geometry. Source: Alexandria via LeMat-Bulk, functional GGA-PBE.

Calculated values
As for the formation energy: 0.6656 eV/atom.

a b c (Å): 4.066 4.066 3.570
angles (deg): 90.00 90.00 90.00
Space group P4/mmm (No. 123)
Inequivalent atoms, fractional coordinates:
Be1 0.000 0.500 0.000 x2
In1 0.000 0.000 0.500 x1
P1 0.500 0.500 0.500 x1

=====

[9]
Crystalline CaYS2F at its relaxed geometry. Source: Alexandria via LeMat-Bulk, functional GGA-PBE.

Calculated values
The value obtained for the formation energy without anion corrections is -2.570 eV/atom.

a b c (Å): 3.888 3.888 13.823
angles (deg): 90.00 90.00 90.00
Space group P4/nmm (No. 129, origin choice 2)
Inequivalent atoms, fractional coordinates:
Ca1 0.250 0.250 0.097 x2
Y1 0.250 0.250 0.626 x2
S1 0.250 0.250 0.409 x2
S2 0.250 0.250 0.807 x2
F1 0.250 0.750 0.000 x2

=====

[10]
Crystalline Y5Ag at its relaxed geometry. Source: Alexandria via LeMat-Bulk, functional GGA-PBE.

Calculated values
As for the formation energy: 0.0386 eV/atom.

a b c (Å): 6.1162 6.1162 5.4354
angles (deg): 90.00 90.00 120.00
Space group P-62m (No. 189)
Inequivalent atoms, fractional coordinates:
Y1 0.0000 0.6875 0.0000 x3
Y2 0.3333 0.6667 0.5000 x2
Ag1 0.0000 0.0000 0.5000 x1

=====

[11]
Crystalline CaY2P2 at its relaxed geometry. Source: Alexandria via LeMat-Bulk, functional GGA-PBE.

Calculated values
As for the formation energy: -1.1799 eV/atom.

a b c (Å): 7.670 7.670 3.885
angles (deg): 90.00 90.00 90.00
Space group P4/mbm (No. 127)
Inequivalent atoms, fractional coordinates:
Ca1 0.000 0.000 0.000 x2
Y1 0.155 0.345 0.500 x4
P1 0.150 0.650 0.000 x4

=====

[12]
Crystalline IrRu2Cl at its relaxed geometry. Source: Alexandria via LeMat-Bulk, functional GGA-PBE.

Calculated values
The value obtained for the formation energy without anion corrections is 0.968 eV/atom.

a b c (Å): 2.759 4.608 4.688
angles (deg): 90.00 90.00 90.00
Space group Pmmm (No. 47)
Inequivalent atoms, fractional coordinates:
Ir1 0.000 0.000 0.000 x1
Ru1 0.000 0.500 0.500 x1
Ru2 0.500 0.500 0.000 x1
Cl1 0.500 0.000 0.500 x1

=====

Please write out number 2 again, unchanged.
Crystalline Sm2Dy3Tm2 at its relaxed geometry. Source: Alexandria via LeMat-Bulk, functional GGA-PBE.

Calculated values
As for the formation energy: 0.1208 eV/atom.

a b c (Å): 17.417 3.494 8.489
angles (deg): 90.00 119.16 90.00
Space group C2/m (No. 12)
Inequivalent atoms, fractional coordinates:
Sm1 0.066 0.000 0.220 x4
Dy1 0.000 0.500 0.500 x2
Dy2 0.212 0.500 0.625 x4
Tm1 0.149 0.500 0.967 x4